# 1
VBSb2: relaxed, PBE.

Summary:
The total energy is -5.385 eV per atom. For the density of states at the Fermi level, the calculation gives 19.51 states/eV per cell.

Lattice parameters (Å, degrees): 6.3322 6.3322 8.7445 90.00 90.00 90.00
Closest atoms and distances in Å follow each position.
Fractional coordinates of all 16 atoms:
V  0.0000  0.0000  0.0000  4 Sb 2.74
V  0.0000  0.5000  0.2500  4 Sb 2.74
V  0.5000  0.0000  0.7500  4 Sb 2.74
V  0.5000  0.5000  0.5000  4 Sb 2.74
B  0.0000  0.0000  0.5000  4 Sb 2.27
B  0.0000  0.5000  0.7500  4 Sb 2.27
B  0.5000  0.0000  0.2500  4 Sb 2.27
B  0.5000  0.5000  0.0000  4 Sb 2.27
Sb  0.1912  0.2500  0.6250  2 B 2.27
Sb  0.2500  0.6912  0.8750  2 B 2.27
Sb  0.2500  0.8088  0.3750  2 B 2.27
Sb  0.3088  0.2500  0.1250  2 B 2.27
Sb  0.6912  0.7500  0.1250  2 B 2.27
Sb  0.7500  0.1912  0.3750  2 B 2.27
Sb  0.7500  0.3088  0.8750  2 B 2.27
Sb  0.8088  0.7500  0.6250  2 B 2.27


# 2
VB2Sb2: relaxed, PBE.

Summary:
The distance to the lowest polymorph of the same formula is 0 kJ/mol of formula units. For the density of states at the Fermi level, the calculation gives 4.47 states/eV per cell.

Lattice parameters (Å, degrees): 5.1369 5.1369 5.9654 90.00 90.00 90.00
Closest atoms and distances in Å follow each position.
Fractional coordinates of all 10 atoms:
V  0.0000  0.0000  0.0000  2 B 2.15
V  0.5000  0.5000  0.5000  2 B 2.15
B  0.0000  0.0000  0.3598  1 B 1.67
B  0.0000  0.0000  0.6402  1 B 1.67
B  0.5000  0.5000  0.1402  1 B 1.67
B  0.5000  0.5000  0.8598  1 B 1.67
Sb  0.0000  0.5000  0.2500  4 B 2.65
Sb  0.0000  0.5000  0.7500  4 B 2.65
Sb  0.5000  0.0000  0.2500  4 B 2.65
Sb  0.5000  0.0000  0.7500  4 B 2.65


# 3
VZnBSb2: relaxed, PBE.

Summary:
The total energy is -3.432 eV per atom. For the density of states at the Fermi level, the calculation gives 5.50 states/eV per cell.

Lattice parameters (Å, degrees): 5.0990 5.0990 4.8200 90.00 90.00 90.00
Closest atoms and distances in Å follow each position.
Fractional coordinates of all 5 atoms:
V  0.0000  0.0000  0.0000  2 Zn 2.41
Zn  0.0000  0.0000  0.5000  2 V 2.41, 4 Sb 2.55
B  0.5000  0.5000  0.0000  8 Sb 3.51, 4 V 3.61
Sb  0.0000  0.5000  0.5000  2 Zn 2.55
Sb  0.5000  0.0000  0.5000  2 Zn 2.55


# 4
B3SbW: relaxed, PBE.

Summary:
The distance to the lowest polymorph of the same formula is 0 kJ/mol of formula units. For the density of states at the Fermi level, the calculation gives 3.77 states/eV per cell.

Lattice parameters (Å, degrees): 4.2615 4.2615 4.2615 90.00 90.00 90.00
Closest atoms and distances in Å follow each position.
Fractional coordinates of all 5 atoms:
B  0.0000  0.0000  0.5000  2 W 2.13
B  0.0000  0.5000  0.0000  2 W 2.13
B  0.5000  0.0000  0.0000  2 W 2.13
Sb  0.5000  0.5000  0.5000  12 B 3.01
W  0.0000  0.0000  0.0000  6 B 2.13